Computed, not measured: crystalline LiCrTe2O8 at its relaxed geometry at the GGA+U level of DFT.

## Properties
As for the mass density: 4.7 g cm⁻³. The raw total energy comes out at -5.53 eV per atom. Its space-group type is I-4m2 (119).

Cell lengths 5.8673, 5.8673, 5.8673 Å; angles 108.05, 108.05, 112.35 degrees
Atoms (fractional coordinates):
Li 0.0000 0.0000 0.0000
Cr 0.2500 0.7500 0.5000
Te 0.5000 0.5000 0.0000
Te 0.7500 0.2500 0.5000
O 0.3118 0.1112 0.7995
O 0.3118 0.5123 0.2005
O 0.3615 0.0563 0.3052
O 0.4877 0.6882 0.7995
O 0.7512 0.0563 0.6948
O 0.8888 0.6882 0.2005
O 0.9437 0.2488 0.3052
O 0.9437 0.6385 0.6948